GaBi2Pd PBE optimized geometry; E_form = 0.086 eV per atom; SG = I-42d, No. 122; crystal system = tetragonal
1.0
-5.255 -0.690 2.356
-2.216 -1.063 -5.254
-2.387 -8.095 -0.556
Pd Bi Ga
2 4 2
direct
0.000 0.000 0.000
0.750 0.250 0.500
0.375 0.349 0.750
0.875 0.901 0.750
0.651 0.125 0.250
0.099 0.625 0.250
0.500 0.500 0.000
0.250 0.750 0.500

MgAlF5 PBE optimized geometry; raw formation energy = -3004 meV/atom; SG = Immm, No. 71; crystal system = orthorhombic
1.0
-1.667 3.892 4.178
1.667 -3.892 4.178
1.667 3.892 -4.178
F Mg Al
5 1 1
direct
0.796 0.296 0.500
0.341 0.000 0.341
0.659 0.000 0.659
0.204 0.704 0.500
0.000 0.000 0.000
0.500 0.500 0.000
0.000 0.500 0.500

Tl3AsW PBE optimized geometry; E_form = 1.497 eV per atom; SG = Pm-3m, No. 221; crystal system = cubic
1.0
-4.687 -1.725 -2.191
-0.083 -4.197 3.481
-2.787 3.025 3.581
Tl W As
3 1 1
direct
0.500 0.000 0.000
0.000 0.000 0.500
0.000 0.500 0.000
0.500 0.500 0.500
0.000 0.000 0.000

SmHoAlAg PBE optimized geometry; E_form = -0.321 eV per atom; SG = F-43m, No. 216; crystal system = cubic
1.0
5.199 0.000 0.000
2.600 4.503 0.000
2.600 1.501 4.245
Al Ho Ag Sm
1 1 1 1
direct
0.750 0.750 0.750
0.000 0.000 0.000
0.250 0.250 0.250
0.500 0.500 0.500

LaTb3TmSc PBE optimized geometry; E_form = 0.026 eV per atom; SG = P2_1/m, No. 11; crystal system = monoclinic
1.0
3.567 0.000 0.000
0.000 9.442 -0.320
0.000 -3.775 11.247
Tm Tb La Sc
2 6 2 2
direct
0.250 0.185 0.345
0.750 0.815 0.655
0.250 0.567 0.402
0.750 0.433 0.598
0.250 0.677 0.848
0.250 0.074 0.905
0.750 0.323 0.152
0.750 0.926 0.095
0.250 0.128 0.632
0.750 0.872 0.368
0.250 0.616 0.116
0.750 0.384 0.884

Na2AcPdF8 PBE optimized geometry; raw formation energy = -2710 meV/atom; SG = P-1, No. 2; crystal system = triclinic
1.0
-2.701 1.777 2.849
1.633 -3.905 3.544
5.520 4.620 2.501
Na F Ac Pd
2 8 1 1
direct
0.517 0.509 0.228
0.483 0.491 0.772
0.078 0.748 0.234
0.487 0.249 0.489
0.513 0.751 0.511
0.890 0.206 0.211
0.627 0.777 0.999
0.110 0.794 0.789
0.922 0.252 0.766
0.373 0.223 0.001
0.000 0.000 0.500
0.000 0.000 0.000

Sm6DyEr2Tm3 PBE optimized geometry; E_form = 0.016 eV per atom; SG = C2/m, No. 12; crystal system = monoclinic
1.0
6.186 0.000 0.009
-3.092 5.359 0.009
-1.044 -1.808 11.534
Er Tm Sm Dy
2 3 6 1
direct
0.667 0.333 0.000
0.333 0.667 0.000
0.833 0.167 0.500
0.500 0.500 0.500
0.167 0.833 0.500
0.417 0.084 0.251
0.750 0.750 0.251
0.084 0.417 0.251
0.583 0.916 0.749
0.916 0.583 0.749
0.250 0.250 0.749
0.000 0.000 0.000

Mg5Tl4 PBE optimized geometry; E_form = -0.011 eV per atom; SG = I4/mmm, No. 139; crystal system = tetragonal
1.0
-0.129 -2.850 6.711
3.684 -0.277 -6.287
2.383 6.594 2.004
Tl Mg
4 5
direct
0.000 0.682 0.682
0.000 0.318 0.318
0.682 0.000 0.682
0.318 0.000 0.318
0.000 0.000 0.000
0.334 0.666 0.000
0.666 0.334 0.000
0.666 0.666 0.332
0.334 0.334 0.668

FeHg2Pb PBE optimized geometry; E_form = 0.498 eV per atom; SG = I-4m2, No. 119; crystal system = tetragonal
1.0
5.648 0.082 0.000
2.200 5.203 0.000
-3.924 -2.643 3.087
Fe Pb Hg
1 1 2
direct
0.750 0.250 0.500
0.500 0.500 0.000
0.000 0.000 0.000
0.250 0.750 0.500

Number 3 is which compound? Tl3AsW

What is the formula in the third record? Tl3AsW

Please write out number 9 again, unchanged.
FeHg2Pb PBE optimized geometry; E_form = 0.498 eV per atom; SG = I-4m2, No. 119; crystal system = tetragonal
1.0
5.648 0.082 0.000
2.200 5.203 0.000
-3.924 -2.643 3.087
Fe Pb Hg
1 1 2
direct
0.750 0.250 0.500
0.500 0.500 0.000
0.000 0.000 0.000
0.250 0.750 0.500